A relaxed SrOs2 crystal, computed with PBE.

size of the total moment	0.000	μB per atom
D(E_F)	2.46	states/eV/f.u.
calculated total energy	-7.3258	eV per atom

Cell: 9.662 9.662 4.399 Å, 90.00 90.00 162.51°
Element x y z (fractional)
Os  0.655  0.345  0.250
Os  0.270  0.730  0.250
Sr  0.069  0.931  0.750
Os  0.345  0.655  0.750
Sr  0.931  0.069  0.250
Os  0.730  0.270  0.750